[1]
The following is a PBE-GGA calculation of a relaxed structure of CeThTe, from Alexandria via LeMat-Bulk.

Values from the calculation:
Its energy above the most stable polymorph in this dataset is 0.205 eV per atom. The electronic total energy comes out at -104.70 eV per cell. The value obtained for the density of states at the Fermi level is 38.618 states/eV per cell. The formation energy (no corrections) comes out at -0.954 eV/f.u.

Structure (CIF):
```
data_CeThTe
_chemical_formula_sum 'Ce6 Th6 Te6'
_cell_length_a 5.0692
_cell_length_b 5.0692
_cell_length_c 25.3143
_cell_angle_alpha 90.00
_cell_angle_beta 90.00
_cell_angle_gamma 120.00
_space_group_name_H-M_alt 'R -3 m'
_space_group_IT_number 166
_space_group_name_Hall '-R 3 2"'
loop_
_atom_site_label
_atom_site_type_symbol
_atom_site_fract_x
_atom_site_fract_y
_atom_site_fract_z
_atom_site_occupancy
Ce1 Ce 0.0000 0.0000 0.1449 1
Th1 Th 0.0000 0.0000 0.2894 1
Te1 Te 0.0000 0.0000 0.4240 1
```



[2]
The following is a PBE-GGA calculation of a relaxed structure of Cs3In2F8, from Alexandria via LeMat-Bulk.

Values from the calculation:
The electronic total energy comes out at -166.72 eV per cell. The value obtained for the density of states at the Fermi level is 5.642 states/eV per cell. The formation energy (no corrections) comes out at -32.564 eV/f.u.

Structure (CIF):
```
data_Cs3In2F8
_chemical_formula_sum 'Cs9 In6 F24'
_cell_length_a 7.0816
_cell_length_b 7.0816
_cell_length_c 22.1416
_cell_angle_alpha 90.00
_cell_angle_beta 90.00
_cell_angle_gamma 120.00
_space_group_name_H-M_alt 'R -3 m'
_space_group_IT_number 166
_space_group_name_Hall '-R 3 2"'
loop_
_atom_site_label
_atom_site_type_symbol
_atom_site_fract_x
_atom_site_fract_y
_atom_site_fract_z
_atom_site_occupancy
Cs1 Cs 0.0000 0.0000 0.0000 1
Cs2 Cs 0.0000 0.0000 0.2077 1
In1 In 0.0000 0.0000 0.4294 1
F1 F 0.0000 0.0000 0.3372 1
F2 F 0.0050 0.5025 0.7710 1
```



[3]
The following is a PBE-GGA calculation of a relaxed structure of Tb2ZnS, from Alexandria via LeMat-Bulk.

Values from the calculation:
Its energy above the most stable polymorph in this dataset is 0.000 eV per atom. The electronic total energy comes out at -77.40 eV per cell. The value obtained for the density of states at the Fermi level is 8.717 states/eV per cell. The formation energy (no corrections) comes out at -4.687 eV/f.u.

Structure (CIF):
```
data_Tb2ZnS
_chemical_formula_sum 'Tb8 Zn4 S4'
_cell_length_a 3.8913
_cell_length_b 22.6644
_cell_length_c 4.1228
_cell_angle_alpha 90.00
_cell_angle_beta 90.00
_cell_angle_gamma 90.00
_space_group_name_H-M_alt 'C m c m'
_space_group_IT_number 63
_space_group_name_Hall '-C 2c 2'
loop_
_atom_site_label
_atom_site_type_symbol
_atom_site_fract_x
_atom_site_fract_y
_atom_site_fract_z
_atom_site_occupancy
Tb1 Tb 0.0000 0.0732 0.2500 1
Tb2 Tb 0.0000 0.3139 0.2500 1
Zn1 Zn 0.0000 0.4623 0.2500 1
S1 S 0.0000 0.1936 0.2500 1
```



[4]
The following is a PBE-GGA calculation of a relaxed structure of RbNa2CuF6, from Alexandria via LeMat-Bulk.

Values from the calculation:
The electronic total energy comes out at -82.64 eV per cell. The formation energy (no corrections) comes out at -22.392 eV/f.u.

Structure (CIF):
```
data_RbNa2CuF6
_chemical_formula_sum 'Rb2 Na4 Cu2 F12'
_cell_length_a 5.9440
_cell_length_b 5.9510
_cell_length_c 10.3127
_cell_angle_alpha 90.00
_cell_angle_beta 123.96
_cell_angle_gamma 90.00
_space_group_name_H-M_alt 'P 1 21/c 1'
_space_group_IT_number 14
loop_
_space_group_symop_operation_xyz
'x,y,z'
'-x,-y,-z'
'-x,y+1/2,-z+1/2'
'x,-y+1/2,z+1/2'
loop_
_atom_site_label
_atom_site_type_symbol
_atom_site_fract_x
_atom_site_fract_y
_atom_site_fract_z
_atom_site_occupancy
Rb1 Rb 0.0000 0.0000 0.0000 1
Na1 Na 0.2862 0.0799 0.7786 1
Cu1 Cu 0.5000 0.0000 0.5000 1
F1 F 0.1406 0.0500 0.3081 1
F2 F 0.3528 0.6282 0.1103 1
F3 F 0.4666 0.2029 0.0582 1
```



[5]
The following is a PBE-GGA calculation of a relaxed structure of BaLiMn2Rh, from Alexandria via LeMat-Bulk.

Values from the calculation:
The electronic total energy comes out at -24.18 eV per cell. As for the formation energy: 1.07 eV/atom. The value obtained for the density of states at the Fermi level is 4.481 states/eV per cell.

Structure (CIF):
```
data_BaLiMn2Rh
_chemical_formula_sum 'Ba1 Li1 Mn2 Rh1'
_cell_length_a 4.5109
_cell_length_b 4.5109
_cell_length_c 5.2839
_cell_angle_alpha 90.00
_cell_angle_beta 90.00
_cell_angle_gamma 90.00
_space_group_name_H-M_alt 'P 4/m m m'
_space_group_IT_number 123
_space_group_name_Hall '-P 4 2'
loop_
_atom_site_label
_atom_site_type_symbol
_atom_site_fract_x
_atom_site_fract_y
_atom_site_fract_z
_atom_site_occupancy
Ba1 Ba 0.0000 0.0000 0.0000 1
Li1 Li 0.0000 0.0000 0.5000 1
Mn1 Mn 0.0000 0.5000 0.5000 1
Rh1 Rh 0.5000 0.5000 0.0000 1
```



[6]
The following is a PBE-GGA calculation of a relaxed structure of TbErGa2, from Alexandria via LeMat-Bulk.

Values from the calculation:
The electronic total energy comes out at -17.76 eV per cell. As for the formation energy: -0.63 eV/atom. The value obtained for the density of states at the Fermi level is 3.051 states/eV per cell.

Structure (CIF):
```
data_TbErGa2
_chemical_formula_sum 'Tb1 Er1 Ga2'
_cell_length_a 4.3536
_cell_length_b 4.0368
_cell_length_c 5.8496
_cell_angle_alpha 90.00
_cell_angle_beta 111.82
_cell_angle_gamma 90.00
_space_group_name_H-M_alt 'P 1 m 1'
_space_group_IT_number 6
loop_
_space_group_symop_operation_xyz
'x,y,z'
'x,-y,z'
loop_
_atom_site_label
_atom_site_type_symbol
_atom_site_fract_x
_atom_site_fract_y
_atom_site_fract_z
_atom_site_occupancy
Tb1 Tb 0.0000 0.0000 0.0000 1
Er1 Er 0.2771 0.5000 0.5565 1
Ga1 Ga 0.5634 0.5000 0.1264 1
Ga2 Ga 0.7161 0.0000 0.4347 1
```



Question: What is the electronic total energy in the fifth record?
Answer: -24.18 eV per cell



Question: Number 1 is which compound?
Answer: CeThTe



Question: Which value of electronic total energy does entry 2 give?
Answer: -166.72 eV per cell



Question: Among the records above, which one has the highest electronic total energy?
Answer: TbErGa2